This record from Alexandria via LeMat-Bulk describes an optimized crystal structure of La2ZnRe2. The functional is PBE.

abc: 5.591 5.591 5.591
angles: 118.80 118.80 92.10
Fractional coordinates of all 5 atoms:
1 Zn 0.000 0.000 0.000
2 Re 0.656 0.656 0.000
3 Re 0.344 0.344 0.000
4 La 0.250 0.750 0.500
5 La 0.750 0.250 0.500

Output
energy above the lowest structure with this stoichiometry = 435 meV per atom
D(E_F) = 7.24 states/eV per cell
energy relative to the elements = 0.650 eV per atom